w) # PBE Be2CoMo, optimized geometry
data_Be2CoMo
_cell_length_a 7.771
_cell_length_b 7.771
_cell_length_c 7.771
_cell_angle_alpha 19.39
_cell_angle_beta 19.39
_cell_angle_gamma 19.39
_space_group_name_H-M_alt 'P 1'
_space_group_IT_number 1
loop_
_space_group_symop_operation_xyz
'x,y,z'
loop_
_atom_site_label
_atom_site_type_symbol
_atom_site_fract_x
_atom_site_fract_y
_atom_site_fract_z
_atom_site_occupancy
Be1 Be 0.991 0.991 0.991 1
Mo1 Mo 0.750 0.750 0.750 1
Co1 Co 0.250 0.250 0.250 1
Be2 Be 0.509 0.509 0.509 1
# Space group ... No. 166
# Magnetic moment ... 0.59 μB/cell
# Fermi-level density of states ... 0.686 states/eV per atom
# Crystal system ... trigonal

***

x) # PBE Be2CoMo, optimized geometry
data_Be2CoMo
_cell_length_a 2.702
_cell_length_b 4.202
_cell_length_c 5.554
_cell_angle_alpha 45.06
_cell_angle_beta 90.00
_cell_angle_gamma 90.00
_space_group_name_H-M_alt 'P 1'
_space_group_IT_number 1
loop_
_space_group_symop_operation_xyz
'x,y,z'
loop_
_atom_site_label
_atom_site_type_symbol
_atom_site_fract_x
_atom_site_fract_y
_atom_site_fract_z
_atom_site_occupancy
Co1 Co 0.500 0.500 0.500 1
Be1 Be 0.000 0.000 0.000 1
Be2 Be 0.500 0.500 0.000 1
Mo1 Mo 0.000 0.000 0.500 1
# Space group ... No. 10
# Magnetic moment ... 0.00 μB/cell
# Fermi-level density of states ... 0.479 states/eV per atom
# Crystal system ... monoclinic

***

Most stable: x). Least stable: w).

***

w) # PBE BeCoMo3, optimized geometry
data_BeCoMo3
_cell_length_a 4.421
_cell_length_b 4.421
_cell_length_c 4.421
_cell_angle_alpha 90.00
_cell_angle_beta 90.00
_cell_angle_gamma 90.00
_space_group_name_H-M_alt 'P 1'
_space_group_IT_number 1
loop_
_space_group_symop_operation_xyz
'x,y,z'
loop_
_atom_site_label
_atom_site_type_symbol
_atom_site_fract_x
_atom_site_fract_y
_atom_site_fract_z
_atom_site_occupancy
Be1 Be 0.500 0.500 0.500 1
Mo1 Mo 0.500 0.000 0.000 1
Mo2 Mo 0.000 0.500 0.000 1
Co1 Co 0.000 0.000 0.000 1
Mo3 Mo 0.000 0.000 0.500 1
# Space group ... No. 221
# Magnetic moment ... 0.00 μB/cell
# Fermi-level density of states ... 1.074 states/eV per atom
# Crystal system ... cubic

***

x) # PBE BeCoMo3, optimized geometry
data_BeCoMo3
_cell_length_a 4.160
_cell_length_b 4.160
_cell_length_c 4.160
_cell_angle_alpha 90.00
_cell_angle_beta 90.00
_cell_angle_gamma 90.00
_space_group_name_H-M_alt 'P 1'
_space_group_IT_number 1
loop_
_space_group_symop_operation_xyz
'x,y,z'
loop_
_atom_site_label
_atom_site_type_symbol
_atom_site_fract_x
_atom_site_fract_y
_atom_site_fract_z
_atom_site_occupancy
Be1 Be 0.000 0.000 0.000 1
Mo1 Mo 0.000 0.000 0.500 1
Co1 Co 0.500 0.500 0.500 1
Mo2 Mo 0.000 0.500 0.000 1
Mo3 Mo 0.500 0.000 0.000 1
# Space group ... No. 221
# Magnetic moment ... 0.00 μB/cell
# Fermi-level density of states ... 0.914 states/eV per atom
# Crystal system ... cubic

***

Most stable: x). Least stable: w).

***

w) # PBE BeCoMo, optimized geometry
data_BeCoMo
_cell_length_a 3.818
_cell_length_b 3.818
_cell_length_c 3.818
_cell_angle_alpha 60.00
_cell_angle_beta 60.00
_cell_angle_gamma 60.00
_space_group_name_H-M_alt 'P 1'
_space_group_IT_number 1
loop_
_space_group_symop_operation_xyz
'x,y,z'
loop_
_atom_site_label
_atom_site_type_symbol
_atom_site_fract_x
_atom_site_fract_y
_atom_site_fract_z
_atom_site_occupancy
Be1 Be 0.500 0.500 0.500 1
Mo1 Mo 0.000 0.000 0.000 1
Co1 Co 0.750 0.750 0.750 1
# Space group ... No. 216
# Magnetic moment ... 0.01 μB/cell
# Fermi-level density of states ... 1.653 states/eV per atom
# Crystal system ... cubic

***

x) # PBE BeCoMo, optimized geometry
data_BeCoMo
_cell_length_a 2.651
_cell_length_b 2.651
_cell_length_c 5.964
_cell_angle_alpha 90.00
_cell_angle_beta 90.00
_cell_angle_gamma 120.00
_space_group_name_H-M_alt 'P 1'
_space_group_IT_number 1
loop_
_space_group_symop_operation_xyz
'x,y,z'
loop_
_atom_site_label
_atom_site_type_symbol
_atom_site_fract_x
_atom_site_fract_y
_atom_site_fract_z
_atom_site_occupancy
Mo1 Mo 0.333 0.667 0.664 1
Be1 Be 0.000 0.000 0.022 1
Co1 Co 0.667 0.333 0.314 1
# Space group ... No. 156
# Magnetic moment ... 0.62 μB/cell
# Fermi-level density of states ... 0.910 states/eV per atom
# Crystal system ... trigonal

***

Most stable: w). Least stable: x).

***

w) # PBE BeCoMo, optimized geometry
data_BeCoMo
_cell_length_a 3.233
_cell_length_b 6.021
_cell_length_c 10.281
_cell_angle_alpha 89.43
_cell_angle_beta 90.00
_cell_angle_gamma 90.00
_space_group_name_H-M_alt 'P 1'
_space_group_IT_number 1
loop_
_space_group_symop_operation_xyz
'x,y,z'
loop_
_atom_site_label
_atom_site_type_symbol
_atom_site_fract_x
_atom_site_fract_y
_atom_site_fract_z
_atom_site_occupancy
Mo1 Mo 0.750 0.647 0.077 1
Co1 Co 0.250 0.859 0.455 1
Co2 Co 0.250 0.991 0.095 1
Be1 Be 0.750 0.765 0.586 1
Be2 Be 0.750 0.234 0.081 1
Co3 Co 0.750 0.009 0.905 1
Co4 Co 0.750 0.141 0.545 1
Be3 Be 0.250 0.766 0.919 1
Co5 Co 0.750 0.643 0.796 1
Co6 Co 0.250 0.357 0.204 1
Be4 Be 0.750 0.276 0.750 1
Be5 Be 0.250 0.724 0.250 1
Mo2 Mo 0.250 0.470 0.612 1
Mo3 Mo 0.250 0.353 0.923 1
Mo4 Mo 0.250 0.975 0.711 1
Be6 Be 0.250 0.235 0.414 1
Mo5 Mo 0.750 0.025 0.289 1
Mo6 Mo 0.750 0.530 0.388 1
# Space group ... No. 11
# Magnetic moment ... 0.05 μB/cell
# Fermi-level density of states ... 0.831 states/eV per atom
# Crystal system ... monoclinic

***

x) # PBE BeCoMo, optimized geometry
data_BeCoMo
_cell_length_a 5.031
_cell_length_b 5.031
_cell_length_c 2.687
_cell_angle_alpha 74.51
_cell_angle_beta 74.51
_cell_angle_gamma 30.98
_space_group_name_H-M_alt 'P 1'
_space_group_IT_number 1
loop_
_space_group_symop_operation_xyz
'x,y,z'
loop_
_atom_site_label
_atom_site_type_symbol
_atom_site_fract_x
_atom_site_fract_y
_atom_site_fract_z
_atom_site_occupancy
Co1 Co 0.355 0.355 0.645 1
Mo1 Mo 0.666 0.666 0.334 1
Be1 Be 0.979 0.979 0.021 1
# Space group ... No. 107
# Magnetic moment ... 0.01 μB/cell
# Fermi-level density of states ... 0.700 states/eV per atom
# Crystal system ... tetragonal

***

y) # PBE BeCoMo, optimized geometry
data_BeCoMo
_cell_length_a 3.889
_cell_length_b 3.889
_cell_length_c 3.889
_cell_angle_alpha 60.00
_cell_angle_beta 60.00
_cell_angle_gamma 60.00
_space_group_name_H-M_alt 'P 1'
_space_group_IT_number 1
loop_
_space_group_symop_operation_xyz
'x,y,z'
loop_
_atom_site_label
_atom_site_type_symbol
_atom_site_fract_x
_atom_site_fract_y
_atom_site_fract_z
_atom_site_occupancy
Be1 Be 0.000 0.000 0.000 1
Co1 Co 0.500 0.500 0.500 1
Mo1 Mo 0.750 0.750 0.750 1
# Space group ... No. 216
# Magnetic moment ... 0.00 μB/cell
# Fermi-level density of states ... 1.194 states/eV per atom
# Crystal system ... cubic

***

Most stable: w). Least stable: y).

***

w) # PBE BeCo3Mo, optimized geometry
data_BeCo3Mo
_cell_length_a 4.358
_cell_length_b 4.358
_cell_length_c 4.358
_cell_angle_alpha 90.00
_cell_angle_beta 90.00
_cell_angle_gamma 90.00
_space_group_name_H-M_alt 'P 1'
_space_group_IT_number 1
loop_
_space_group_symop_operation_xyz
'x,y,z'
loop_
_atom_site_label
_atom_site_type_symbol
_atom_site_fract_x
_atom_site_fract_y
_atom_site_fract_z
_atom_site_occupancy
Co1 Co 0.000 0.500 0.000 1
Co2 Co 0.500 0.000 0.000 1
Co3 Co 0.000 0.000 0.500 1
Mo1 Mo 0.000 0.000 0.000 1
Be1 Be 0.500 0.500 0.500 1
# Space group ... No. 221
# Magnetic moment ... 0.03 μB/cell
# Fermi-level density of states ... 1.000 states/eV per atom
# Crystal system ... cubic

***

x) # PBE BeCo3Mo, optimized geometry
data_BeCo3Mo
_cell_length_a 3.827
_cell_length_b 3.827
_cell_length_c 3.827
_cell_angle_alpha 90.00
_cell_angle_beta 90.00
_cell_angle_gamma 90.00
_space_group_name_H-M_alt 'P 1'
_space_group_IT_number 1
loop_
_space_group_symop_operation_xyz
'x,y,z'
loop_
_atom_site_label
_atom_site_type_symbol
_atom_site_fract_x
_atom_site_fract_y
_atom_site_fract_z
_atom_site_occupancy
Co1 Co 0.000 0.500 0.000 1
Co2 Co 0.000 0.000 0.500 1
Co3 Co 0.500 0.000 0.000 1
Be1 Be 0.000 0.000 0.000 1
Mo1 Mo 0.500 0.500 0.500 1
# Space group ... No. 221
# Magnetic moment ... 0.95 μB/cell
# Fermi-level density of states ... 1.660 states/eV per atom
# Crystal system ... cubic

***

Most stable: x). Least stable: w).

***

w) # PBE BeCo2N, optimized geometry
data_BeCo2N
_cell_length_a 3.627
_cell_length_b 3.627
_cell_length_c 3.627
_cell_angle_alpha 60.00
_cell_angle_beta 60.00
_cell_angle_gamma 60.00
_space_group_name_H-M_alt 'P 1'
_space_group_IT_number 1
loop_
_space_group_symop_operation_xyz
'x,y,z'
loop_
_atom_site_label
_atom_site_type_symbol
_atom_site_fract_x
_atom_site_fract_y
_atom_site_fract_z
_atom_site_occupancy
Co1 Co 0.750 0.750 0.750 1
Co2 Co 0.250 0.250 0.250 1
Be1 Be 0.000 0.000 0.000 1
N1 N 0.500 0.500 0.500 1
# Space group ... No. 225
# Magnetic moment ... 1.27 μB/cell
# Fermi-level density of states ... 0.964 states/eV per atom
# Crystal system ... cubic

***

x) # PBE BeCo2N, optimized geometry
data_BeCo2N
_cell_length_a 4.820
_cell_length_b 4.820
_cell_length_c 5.116
_cell_angle_alpha 61.90
_cell_angle_beta 61.90
_cell_angle_gamma 90.00
_space_group_name_H-M_alt 'P 1'
_space_group_IT_number 1
loop_
_space_group_symop_operation_xyz
'x,y,z'
loop_
_atom_site_label
_atom_site_type_symbol
_atom_site_fract_x
_atom_site_fract_y
_atom_site_fract_z
_atom_site_occupancy
N1 N 0.750 0.250 0.500 1
Be1 Be 0.500 0.500 0.000 1
Co1 Co 0.875 0.943 0.750 1
Co2 Co 0.693 0.125 0.250 1
Co3 Co 0.057 0.625 0.250 1
N2 N 0.000 0.000 0.000 1
Be2 Be 0.250 0.750 0.500 1
Co4 Co 0.375 0.307 0.750 1
# Space group ... No. 122
# Magnetic moment ... 0.00 μB/cell
# Fermi-level density of states ... 0.767 states/eV per atom
# Crystal system ... tetragonal

***

Most stable: x). Least stable: w).